A geometry-optimized ScMn2SnO6 structure. Source: the Alexandria database, functional GGA+U.

Properties
DFT total energy = -7.476 eV per atom
volume = 11.7 Å³ per atom

Cell: 5.299 5.310 5.670 Å, 90.20 117.64 119.91°
Space group P1 (No. 1)
One atom of each set of equivalent atoms:
Sc  0.000  0.000  0.000 x1
Mn  0.556  0.278  0.833 x1
Mn  0.594  0.797  0.392 x1
Sn  0.977  0.486  0.464 x1
O  0.059  0.185  0.663 x1
O  0.109  0.409  0.182 x1
O  0.478  0.870  0.663 x1
O  0.483  0.073  0.186 x1
O  0.776  0.700  0.185 x1
O  0.791  0.604  0.663 x1